Computed, not measured: crystalline MnCu2PbF8 at its relaxed geometry at the PBE+U level of DFT.

```
MnCu2PbF8
1.0
-2.763 2.763 5.415
2.763 -2.763 5.415
2.763 2.763 -5.415
Mn Cu Pb F
1 2 1 8
Cartesian
0.000 0.000 0.000 Mn
2.763 0.000 2.707 Cu
0.000 0.000 5.415 Cu
0.000 2.763 2.707 Pb
2.054 -1.635 3.405 F
4.398 -0.709 2.010 F
1.775 1.204 -0.570 F
1.128 0.709 2.010 F
1.559 -0.988 5.984 F
3.472 1.635 3.405 F
0.988 1.559 4.845 F
1.204 3.751 0.570 F
```

- Total magnetization: 0.583 μB/atom
- Uncorrected energy: -4.82 eV/atom
- Symmetry: I-4 (82)
- Calculated density: 5.4 Mg/m³
- Volume: 165 Å³/cell